No. 1
An optimized crystal structure of HfNbSn, computed with GGA-PBE.

Lattice parameters (Å, degrees): 5.3165 5.3165 5.1524 90.00 90.00 122.19
Closest atoms and distances in Å follow each position.
Fractional positions:
Hf 0.0845 0.9155 0.7500  3 Nb 2.98-3.14, 5 Sn 3.00-3.12, 2 Hf 3.02
Hf 0.9155 0.0845 0.2500  3 Nb 2.98-3.14, 5 Sn 3.00-3.12, 2 Hf 3.02
Nb 0.4222 0.5778 0.7500  2 Nb 2.96, 3 Hf 2.98-3.14, 5 Sn 3.03-3.05
Nb 0.5778 0.4222 0.2500  2 Nb 2.96, 3 Hf 2.98-3.14, 5 Sn 3.03-3.05
Sn 0.2502 0.7498 0.2500  5 Hf 3.00-3.12, 5 Nb 3.03-3.05
Sn 0.7498 0.2502 0.7500  5 Hf 3.00-3.12, 5 Nb 3.03-3.05

E = -8.214 eV per atom

=====

No. 2
An optimized crystal structure of Hf5NbSn2, computed with GGA-PBE.

Lattice parameters (Å, degrees): 7.0509 7.0509 12.0039 90.00 90.00 138.30
Closest atoms and distances in Å follow each position.
Fractional positions:
Hf 0.0998 0.9002 0.6239  2 Sn 2.93-3.02, 1 Nb 2.96, 6 Hf 3.03-3.20
Hf 0.0998 0.9002 0.8761  2 Sn 2.93-3.02, 1 Nb 2.96, 6 Hf 3.03-3.20
Hf 0.3176 0.6824 0.5062  1 Nb 2.94, 3 Sn 3.00-3.02, 6 Hf 3.08-3.20
Hf 0.3176 0.6824 0.9938  1 Nb 2.94, 3 Sn 3.00-3.02, 6 Hf 3.08-3.20
Hf 0.3357 0.6643 0.2500  2 Nb 3.03, 6 Hf 3.05-3.08, 2 Sn 3.17
Hf 0.6643 0.3357 0.7500  2 Nb 3.03, 6 Hf 3.05-3.08, 2 Sn 3.17
Hf 0.6824 0.3176 0.0062  1 Nb 2.94, 3 Sn 3.00-3.02, 6 Hf 3.08-3.20
Hf 0.6824 0.3176 0.4938  1 Nb 2.94, 3 Sn 3.00-3.02, 6 Hf 3.08-3.20
Hf 0.9002 0.0998 0.1239  2 Sn 2.93-3.02, 1 Nb 2.96, 6 Hf 3.03-3.20
Hf 0.9002 0.0998 0.3761  2 Sn 2.93-3.02, 1 Nb 2.96, 6 Hf 3.03-3.20
Nb 0.2927 0.7073 0.7500  6 Hf 2.94-3.03, 4 Sn 3.12
Nb 0.7073 0.2927 0.2500  6 Hf 2.94-3.03, 4 Sn 3.12
Sn 0.1228 0.8772 0.1268  6 Hf 2.93-3.17, 1 Sn 2.96, 2 Nb 3.12
Sn 0.1228 0.8772 0.3732  6 Hf 2.93-3.17, 1 Sn 2.96, 2 Nb 3.12
Sn 0.8772 0.1228 0.6268  6 Hf 2.93-3.17, 1 Sn 2.96, 2 Nb 3.12
Sn 0.8772 0.1228 0.8732  6 Hf 2.93-3.17, 1 Sn 2.96, 2 Nb 3.12

E = -8.266 eV per atom

=====

No. 3
An optimized crystal structure of HfNb2Sn, computed with GGA-PBE.

Lattice parameters (Å, degrees): 4.4350 3.6152 10.3773 90.00 101.22 90.00
Closest atoms and distances in Å follow each position.
Fractional positions:
Hf 0.1724 0.2500 0.3853  5 Sn 2.92-2.93, 2 Nb 3.25
Hf 0.8276 0.7500 0.6147  5 Sn 2.92-2.93, 2 Nb 3.25
Nb 0.0544 0.7500 0.1195  6 Nb 2.86-3.03, 2 Sn 3.06-3.08
Nb 0.4501 0.7500 0.8905  6 Nb 2.86-2.87, 2 Sn 2.87
Nb 0.5499 0.2500 0.1095  6 Nb 2.86-2.87, 2 Sn 2.87
Nb 0.9456 0.2500 0.8805  6 Nb 2.86-3.03, 2 Sn 3.06-3.08
Sn 0.3528 0.2500 0.6721  4 Nb 2.87-3.08, 5 Hf 2.92-2.93
Sn 0.6472 0.7500 0.3279  4 Nb 2.87-3.08, 5 Hf 2.92-2.93

E = -8.706 eV per atom

=====

No. 4
An optimized crystal structure of HfNbSn, computed with GGA-PBE.

Lattice parameters (Å, degrees): 4.8953 4.8953 3.0074 90.00 90.00 120.00
Closest atoms and distances in Å follow each position.
Fractional positions:
Hf 0.0000 0.0000 0.0000  2 Hf 3.01, 3 Nb 3.01, 3 Sn 3.05
Nb 0.6667 0.3333 0.6521  3 Sn 2.94, 2 Nb 3.01, 3 Hf 3.01
Sn 0.3333 0.6667 0.3810  3 Nb 2.94, 2 Sn 3.01, 3 Hf 3.05

E = -7.987 eV per atom

=====

No. 5
An optimized crystal structure of HfNb2Sn2, computed with GGA-PBE.

Lattice parameters (Å, degrees): 7.4845 7.4845 3.6875 90.00 90.00 90.00
Closest atoms and distances in Å follow each position.
Fractional positions:
Hf 0.0000 0.0000 0.0000  4 Sn 2.91
Hf 0.5000 0.5000 0.0000  4 Sn 2.91
Nb 0.1644 0.3356 0.5000  6 Sn 2.80-2.92
Nb 0.3356 0.8356 0.5000  6 Sn 2.80-2.92
Nb 0.6644 0.1644 0.5000  6 Sn 2.80-2.92
Nb 0.8356 0.6644 0.5000  6 Sn 2.80-2.92
Sn 0.1363 0.6363 0.0000  6 Nb 2.80-2.92, 1 Sn 2.89, 2 Hf 2.91
Sn 0.3637 0.1363 0.0000  6 Nb 2.80-2.92, 1 Sn 2.89, 2 Hf 2.91
Sn 0.6363 0.8637 0.0000  6 Nb 2.80-2.92, 1 Sn 2.89, 2 Hf 2.91
Sn 0.8637 0.3637 0.0000  6 Nb 2.80-2.92, 1 Sn 2.89, 2 Hf 2.91

E above lowest polymorph = 0 meV/atom

=====

No. 6
An optimized crystal structure of Hf2NbSn, computed with GGA-PBE.

Lattice parameters (Å, degrees): 6.2830 6.2830 6.2830 102.29 102.29 125.04
Closest atoms and distances in Å follow each position.
Fractional positions:
Hf 0.1147 0.6250 0.9897  2 Nb 2.82, 2 Hf 2.90, 2 Sn 2.94
Hf 0.3750 0.3647 0.4897  2 Nb 2.82, 2 Hf 2.90, 2 Sn 2.94
Hf 0.6353 0.1250 0.0103  2 Nb 2.82, 2 Hf 2.90, 2 Sn 2.94
Hf 0.8750 0.8853 0.5103  2 Nb 2.82, 2 Hf 2.90, 2 Sn 2.94
Nb 0.0000 0.0000 0.0000  4 Hf 2.82, 2 Sn 2.90
Nb 0.7500 0.2500 0.5000  4 Hf 2.82, 2 Sn 2.90
Sn 0.2500 0.7500 0.5000  2 Nb 2.90, 4 Hf 2.94
Sn 0.5000 0.5000 0.0000  2 Nb 2.90, 4 Hf 2.94

E = -8.065 eV per atom

=====

No. 7
An optimized crystal structure of Hf2NbSn, computed with GGA-PBE.

Lattice parameters (Å, degrees): 9.9251 9.9251 9.9251 18.59 18.59 18.59
Closest atoms and distances in Å follow each position.
Fractional positions:
Hf 0.0000 0.0000 0.0000  3 Nb 2.98, 3 Sn 3.14, 6 Hf 3.21
Hf 0.1597 0.1597 0.1597  3 Nb 2.98, 3 Sn 3.14, 6 Hf 3.21
Nb 0.4133 0.4133 0.4133  6 Hf 2.98, 6 Nb 3.21
Sn 0.5800 0.5800 0.5800  6 Hf 3.14, 6 Sn 3.21

E = -8.485 eV per atom

=====

No. 8
An optimized crystal structure of Hf3Nb2Sn2, computed with GGA-PBE.

Lattice parameters (Å, degrees): 7.7936 7.7936 7.0737 115.39 115.39 22.71
Closest atoms and distances in Å follow each position.
Fractional positions:
Hf 0.0000 0.0000 0.0000  2 Nb 2.96, 4 Sn 2.99, 4 Hf 3.01-3.07
Hf 0.2153 0.2153 0.2789  3 Nb 2.93-2.99, 5 Hf 3.01-3.22, 3 Sn 3.05-3.12
Hf 0.7847 0.7847 0.7211  3 Nb 2.93-2.99, 5 Hf 3.01-3.22, 3 Sn 3.05-3.12
Nb 0.1423 0.1423 0.8210  4 Hf 2.93-2.99, 2 Nb 3.07, 2 Sn 3.07
Nb 0.8577 0.8577 0.1790  4 Hf 2.93-2.99, 2 Nb 3.07, 2 Sn 3.07
Sn 0.4292 0.4292 0.5966  5 Hf 2.99-3.12, 3 Sn 3.02-3.07, 4 Nb 3.07-3.31
Sn 0.5708 0.5708 0.4034  5 Hf 2.99-3.12, 3 Sn 3.02-3.07, 4 Nb 3.07-3.31

E = -8.235 eV per atom

=====

No. 9
An optimized crystal structure of Hf7NbSn2, computed with GGA-PBE.

Lattice parameters (Å, degrees): 7.2168 7.2168 7.2168 60.00 60.00 60.00
Closest atoms and distances in Å follow each position.
Fractional positions:
Hf 0.0000 0.0000 0.0000  6 Hf 2.58
Hf 0.2530 0.2530 0.7470  1 Nb 2.52, 1 Hf 2.58
Hf 0.2530 0.7470 0.2530  1 Nb 2.52, 1 Hf 2.58
Hf 0.2530 0.7470 0.7470  1 Nb 2.52, 1 Hf 2.58
Hf 0.7470 0.2530 0.2530  1 Nb 2.52, 1 Hf 2.58
Hf 0.7470 0.2530 0.7470  1 Nb 2.52, 1 Hf 2.58
Hf 0.7470 0.7470 0.2530  1 Nb 2.52, 1 Hf 2.58
Nb 0.5000 0.5000 0.5000  6 Hf 2.52
Sn 0.2500 0.2500 0.2500  12 Hf 3.61
Sn 0.7500 0.7500 0.7500  12 Hf 3.61

E = -7.777 eV per atom

=====

No. 10
An optimized crystal structure of HfNb2Sn2, computed with GGA-PBE.

Lattice parameters (Å, degrees): 4.0303 4.0303 7.2489 106.06 106.06 89.99
Closest atoms and distances in Å follow each position.
Fractional positions:
Hf 0.0000 0.0000 0.0000  8 Sn 3.15-3.16
Nb 0.2496 0.7504 0.5000  4 Sn 2.83, 4 Nb 2.84-2.85
Nb 0.7504 0.2496 0.5000  4 Sn 2.83, 4 Nb 2.84-2.85
Sn 0.3989 0.3989 0.7978  1 Sn 2.70, 4 Nb 2.83
Sn 0.6011 0.6011 0.2022  1 Sn 2.70, 4 Nb 2.83

E above lowest polymorph = 194 meV/atom

=====

No. 11
An optimized crystal structure of Hf2NbSn, computed with GGA-PBE.

Lattice parameters (Å, degrees): 4.6394 4.6394 3.8314 90.00 90.00 90.00
Closest atoms and distances in Å follow each position.
Fractional positions:
Hf 0.0000 0.5000 0.0000  4 Nb 3.01, 4 Sn 3.01, 4 Hf 3.28
Hf 0.5000 0.0000 0.0000  4 Nb 3.01, 4 Sn 3.01, 4 Hf 3.28
Nb 0.0000 0.0000 0.5000  8 Hf 3.01, 4 Sn 3.28
Sn 0.5000 0.5000 0.5000  8 Hf 3.01, 4 Nb 3.28

E = -8.741 eV per atom

=====

No. 12
An optimized crystal structure of Hf4NbSn2, computed with GGA-PBE.

Lattice parameters (Å, degrees): 6.0268 6.0268 4.4546 90.00 90.00 99.18
Closest atoms and distances in Å follow each position.
Fractional positions:
Hf 0.0000 0.5000 0.5000  4 Sn 2.96, 2 Nb 3.01, 4 Hf 3.20
Hf 0.2374 0.2374 0.0000  4 Sn 3.01-3.02, 2 Nb 3.03, 4 Hf 3.20
Hf 0.5000 0.0000 0.5000  4 Sn 2.96, 2 Nb 3.01, 4 Hf 3.20
Hf 0.7626 0.7626 0.0000  4 Sn 3.01-3.02, 2 Nb 3.03, 4 Hf 3.20
Nb 0.5000 0.5000 0.5000  8 Hf 3.01-3.03, 4 Sn 3.13
Sn 0.2600 0.7400 0.0000  8 Hf 2.96-3.02, 2 Nb 3.13
Sn 0.7400 0.2600 0.0000  8 Hf 2.96-3.02, 2 Nb 3.13

E above lowest polymorph = 0 meV/atom